1.
# GGA-PBE As3PF, relaxed
# SG: Pm-3m, No. 221
# V in Å³/cell: 94
# Total magnetization in μB per formula unit: 0.000
data_As3PF
_space_group_name_H-M_alt 'P 1'
_space_group_IT_number 1
_cell_length_a 4.549
_cell_length_b 4.549
_cell_length_c 4.549
_cell_angle_alpha 90.00
_cell_angle_beta 90.00
_cell_angle_gamma 90.00
loop_
_space_group_symop_operation_xyz
'x,y,z'
loop_
_atom_site_label
_atom_site_type_symbol
_atom_site_fract_x
_atom_site_fract_y
_atom_site_fract_z
P1 P 0.500 0.500 0.500
As1 As 0.000 0.500 0.000
As2 As 0.000 0.000 0.500
As3 As 0.500 0.000 0.000
F1 F 0.000 0.000 0.000

***

2.
# GGA-PBE As3PF, relaxed
# SG: Pm-3m, No. 221
# V in Å³/cell: 106
# Total magnetization in μB per formula unit: 0.000
data_As3PF
_space_group_name_H-M_alt 'P 1'
_space_group_IT_number 1
_cell_length_a 4.737
_cell_length_b 4.737
_cell_length_c 4.737
_cell_angle_alpha 90.00
_cell_angle_beta 90.00
_cell_angle_gamma 90.00
loop_
_space_group_symop_operation_xyz
'x,y,z'
loop_
_atom_site_label
_atom_site_type_symbol
_atom_site_fract_x
_atom_site_fract_y
_atom_site_fract_z
P1 P 0.000 0.000 0.000
As1 As 0.000 0.500 0.000
As2 As 0.000 0.000 0.500
As3 As 0.500 0.000 0.000
F1 F 0.500 0.500 0.500

***

Stability summary: most stable 2, least stable 1.